Computed, not measured: an optimized crystal structure of DyTm6Al at the PBE level of DFT.

**N(E_F)**: 1.08 states/eV/atom
**DFT formation energy**: -67 meV/atom
**Raw total energy**: -4.464 eV/atom
**Symmetry**: P4/mmm
**Spin magnetization**: 0.00 μB per formula unit
**Calculated volume**: 225 Å³/cell

a = 4.804 Å, b = 4.804 Å, c = 9.756 Å
α = 90.00°, β = 90.00°, γ = 90.00°
Fractional coordinates of all 8 atoms:
Tm 0.500 0.000 0.740
Tm 0.000 0.500 0.260
Tm 0.500 0.500 0.000
Tm 0.000 0.500 0.740
Tm 0.500 0.000 0.260
Al 0.000 0.000 0.500
Dy 0.000 0.000 0.000
Tm 0.500 0.500 0.500